# ZnBRhO5

A geometry-optimized ZnBRhO5 structure (PBE, the Alexandria database).

Computed properties:
SG: C2/c, No. 15
Volume (Å³ per atom): 9.999
Raw formation energy (eV per atom): -1.252

a b c (Å): 5.118 5.118 6.947
angles (deg): 105.33 105.33 103.48
Fractional coordinates of all 16 atoms:
Zn  0.155  0.845  0.750
Zn  0.845  0.155  0.250
B  0.183  0.817  0.250
B  0.817  0.183  0.750
Rh  0.500  0.500  0.000
Rh  0.500  0.500  0.500
O  0.108  0.225  0.906
O  0.167  0.609  0.359
O  0.225  0.108  0.406
O  0.391  0.833  0.141
O  0.398  0.602  0.750
O  0.602  0.398  0.250
O  0.609  0.167  0.859
O  0.775  0.892  0.594
O  0.833  0.391  0.641
O  0.892  0.775  0.094